(1)
Here is an optimized crystal structure of MnNi2 from Alexandria via LeMat-Bulk. Energies are from PBE-GGA.

Structure (POSCAR):
```
MnNi2
1.0
-0.6694 2.5053 -0.1422
-0.3275 -0.2976 -3.7011
-15.4733 -4.0385 1.6939
Ni Mn
8 4
Cartesian
-0.7212 -0.2413 -0.8553
-15.0796 -4.0948 -1.1520
-8.9563 -1.1566 -1.9300
-7.5139 -0.6741 -0.2194
-3.0118 -0.8391 -0.6045
-12.7890 -3.4970 -1.4027
-11.2470 -1.7545 -1.6793
-5.2233 -0.0763 -0.4702
-9.6009 -2.5588 0.1168
-6.1999 -1.7773 -2.1240
-2.3627 0.5643 -2.6518
-14.1076 -2.3950 0.5024
```

Values from the calculation:
**Mass density**: 7.4 Mg/m³
**ΔE_f**: 217 meV per atom

=====

(2)
Here is an optimized crystal structure of Mn5Ni from Alexandria via LeMat-Bulk. Energies are from PBE-GGA.

Structure (POSCAR):
```
Mn5Ni
1.0
0.0000 3.2512 3.2512
3.2512 0.0000 3.2512
3.2512 3.2512 0.0000
Mn Ni
5 1
Cartesian
2.4323 2.4323 4.0701
1.6256 1.6256 1.6256
4.0701 4.0701 4.0701
4.0701 2.4323 2.4323
2.4323 4.0701 2.4323
0.0000 0.0000 0.0000
```

Values from the calculation:
**ΔE to the lowest computed polymorph**: 153.1 meV/atom
**Mass density**: 8.1 Mg/m³
**ΔE_f**: 187 meV per atom

=====

(3)
Here is an optimized crystal structure of MnNi4 from Alexandria via LeMat-Bulk. Energies are from PBE-GGA.

Structure (POSCAR):
```
MnNi4
1.0
-2.2087 1.1085 -0.6541
-1.6643 -3.0410 0.4664
0.8925 2.4687 6.1651
Mn Ni
1 4
Cartesian
0.0000 0.0000 0.0000
-2.1507 -0.6580 1.1519
-0.4219 0.6071 2.4533
-2.5586 -0.0710 3.5240
-0.8298 1.1941 4.8254
```

Values from the calculation:
**ΔE to the lowest computed polymorph**: 30.9 meV/atom
**Mass density**: 8.5 Mg/m³
**ΔE_f**: -18 meV per atom

=====

(4)
Here is an optimized crystal structure of MnNi2 from Alexandria via LeMat-Bulk. Energies are from PBE-GGA.

Structure (POSCAR):
```
MnNi2
1.0
-2.6622 -0.4458 -2.9547
1.3209 -3.2028 2.0034
-1.8799 0.2597 1.6546
Mn Ni
1 2
Cartesian
-2.6622 -0.4458 -2.9547
-1.9121 -1.2850 -0.7936
-1.3091 -2.1039 1.4969
```

Values from the calculation:
**Mass density**: 8.2 Mg/m³
**ΔE_f**: 55 meV per atom

=====

(5)
Here is an optimized crystal structure of Mn3Ni from Alexandria via LeMat-Bulk. Energies are from PBE-GGA.

Structure (POSCAR):
```
Mn3Ni
1.0
-0.5945 2.3327 -0.6090
-1.2916 -1.1930 1.7534
5.0756 2.7597 5.6165
Mn Ni
3 1
Cartesian
0.0181 0.0098 0.0200
2.5197 1.3700 2.7883
0.2097 0.6721 2.3701
2.7475 2.0520 5.1783
```

Values from the calculation:
**Mass density**: 8.6 Mg/m³
**ΔE_f**: 55 meV per atom

=====

(6)
Here is an optimized crystal structure of Mn5Ni from Alexandria via LeMat-Bulk. Energies are from PBE-GGA.

Structure (POSCAR):
```
Mn5Ni
1.0
2.4800 0.0000 0.0000
1.2400 4.5416 0.0010
0.0000 1.4523 5.7253
Mn Ni
5 1
Cartesian
1.2400 5.9912 5.7227
2.4800 4.5618 4.0972
1.2400 2.4853 3.8275
2.4800 1.0782 2.2381
2.4800 3.5185 1.9271
1.2400 2.1027 0.3206
```

Values from the calculation:
**ΔE to the lowest computed polymorph**: 16.6 meV/atom
**Mass density**: 8.6 Mg/m³
**ΔE_f**: 50 meV per atom

=====

(7)
Here is an optimized crystal structure of MnNi3 from Alexandria via LeMat-Bulk. Energies are from PBE-GGA.

Structure (POSCAR):
```
MnNi3
1.0
-0.6414 1.9408 1.5804
1.3984 -1.7250 2.6859
4.4954 2.2269 -0.9102
Ni Mn
3 1
Cartesian
2.2477 1.1134 -0.4551
1.5401 0.6833 1.8980
3.7122 1.7593 1.4582
0.0000 0.0000 0.0000
```

Values from the calculation:
**Mass density**: 8.4 Mg/m³
**ΔE_f**: -26 meV per atom

=====

(8)
Here is an optimized crystal structure of Mn3Ni from Alexandria via LeMat-Bulk. Energies are from PBE-GGA.

Structure (POSCAR):
```
Mn3Ni
1.0
4.3460 0.0557 0.0000
-1.4792 4.0869 0.0000
0.0000 0.0000 2.5376
Mn Ni
3 1
Cartesian
0.0000 0.0000 0.0000
-0.7396 2.0435 1.2688
2.1730 0.0279 1.2688
1.4334 2.0713 0.0000
```

Values from the calculation:
**Mass density**: 8.2 Mg/m³
**ΔE_f**: 30 meV per atom